(1)
{"formula": "RbNaCaPt2", "functional": "GGA-PBE", "state": "relaxed", "cell": [[5.5749, 0.0000, 0.0000], [0.0000, 5.5749, 0.0000], [0.0000, 0.0000, 5.3923]], "species": ["Rb", "Na", "Ca", "Pt", "Pt"], "frac_coords": [[0.0000, 0.0000, 0.0000], [0.5000, 0.5000, 0.5000], [0.0000, 0.0000, 0.5000], [0.0000, 0.5000, 0.0000], [0.5000, 0.0000, 0.0000]], "sg": "No. 123", "energy_ry_per_atom": -0.158, "vol_a3_per_atom": 33.518}

(2)
{"formula": "RbNa2CaPt", "functional": "GGA-PBE", "state": "relaxed", "cell": [[5.8857, 0.0000, 0.0000], [0.0000, 5.8857, 0.0000], [0.0000, 0.0000, 5.4801]], "species": ["Rb", "Na", "Na", "Ca", "Pt"], "frac_coords": [[0.0000, 0.0000, 0.0000], [0.0000, 0.5000, 0.5000], [0.5000, 0.0000, 0.5000], [0.5000, 0.5000, 0.0000], [0.5000, 0.5000, 0.5000]], "sg": "No. 123", "energy_ry_per_atom": -0.181, "vol_a3_per_atom": 37.968}